(1)
# Hf3PaTc2, optimized geometry, DFT PBE
# - Energy of formation: -0.2988 eV/atom
# - Crystal system: tetragonal
# - D(E_F): 1.14 states/eV per atom
# - Total moment: 0.00 μB/f.u.
data_Hf3PaTc2
_chemical_formula_sum 'Hf3 Pa1 Tc2'
_cell_length_a 3.259
_cell_length_b 3.259
_cell_length_c 11.153
_cell_angle_alpha 90.00
_cell_angle_beta 90.00
_cell_angle_gamma 90.00
_symmetry_space_group_name_H-M 'P 1'
_symmetry_Int_Tables_number 1
loop_
_symmetry_equiv_pos_as_xyz
'x,y,z'
loop_
_atom_site_label
_atom_site_fract_x
_atom_site_fract_y
_atom_site_fract_z
_atom_site_occupancy
Hf1 0.000 0.000 0.000 1
Hf2 0.000 0.000 0.287 1
Hf3 0.000 0.000 0.713 1
Pa1 0.500 0.500 0.500 1
Tc1 0.500 0.500 0.150 1
Tc2 0.500 0.500 0.850 1

---

(2)
# Hf2PaTc, optimized geometry, DFT PBE
# - Energy of formation: -0.1915 eV/atom
# - Crystal system: tetragonal
# - D(E_F): 1.33 states/eV per atom
# - Total moment: 0.00 μB/f.u.
# - Offset from the most stable computed form: 0 meV/atom
data_Hf2PaTc
_chemical_formula_sum 'Hf2 Pa1 Tc1'
_cell_length_a 3.244
_cell_length_b 3.244
_cell_length_c 7.971
_cell_angle_alpha 90.00
_cell_angle_beta 90.00
_cell_angle_gamma 90.00
_symmetry_space_group_name_H-M 'P 1'
_symmetry_Int_Tables_number 1
loop_
_symmetry_equiv_pos_as_xyz
'x,y,z'
loop_
_atom_site_label
_atom_site_fract_x
_atom_site_fract_y
_atom_site_fract_z
_atom_site_occupancy
Hf1 0.000 0.000 0.198 1
Hf2 0.000 0.000 0.802 1
Pa1 0.500 0.500 0.500 1
Tc1 0.500 0.500 0.000 1

---

(3)
# HfPaTc2, optimized geometry, DFT PBE
# - Energy of formation: -0.3767 eV/atom
# - Crystal system: orthorhombic
# - D(E_F): 0.64 states/eV per atom
# - Total moment: 0.00 μB/f.u.
# - Offset from the most stable computed form: 5 meV/atom
data_HfPaTc2
_chemical_formula_sum 'Hf2 Pa2 Tc4'
_cell_length_a 4.684
_cell_length_b 3.375
_cell_length_c 9.582
_cell_angle_alpha 90.00
_cell_angle_beta 90.00
_cell_angle_gamma 90.00
_symmetry_space_group_name_H-M 'P 1'
_symmetry_Int_Tables_number 1
loop_
_symmetry_equiv_pos_as_xyz
'x,y,z'
loop_
_atom_site_label
_atom_site_fract_x
_atom_site_fract_y
_atom_site_fract_z
_atom_site_occupancy
Hf1 0.250 0.000 0.113 1
Hf2 0.750 0.000 0.887 1
Pa1 0.250 0.000 0.638 1
Pa2 0.750 0.000 0.362 1
Tc1 0.250 0.500 0.367 1
Tc2 0.250 0.500 0.879 1
Tc3 0.750 0.500 0.121 1
Tc4 0.750 0.500 0.633 1

---

(4)
# HfPaTc, optimized geometry, DFT PBE
# - Energy of formation: -0.1760 eV/atom
# - Crystal system: tetragonal
# - D(E_F): 1.05 states/eV per atom
# - Total moment: 0.00 μB/f.u.
# - Offset from the most stable computed form: 0 meV/atom
data_HfPaTc
_chemical_formula_sum 'Hf1 Pa1 Tc1'
_cell_length_a 5.860
_cell_length_b 5.860
_cell_length_c 5.860
_cell_angle_alpha 146.27
_cell_angle_beta 146.27
_cell_angle_gamma 48.44
_symmetry_space_group_name_H-M 'P 1'
_symmetry_Int_Tables_number 1
loop_
_symmetry_equiv_pos_as_xyz
'x,y,z'
loop_
_atom_site_label
_atom_site_fract_x
_atom_site_fract_y
_atom_site_fract_z
_atom_site_occupancy
Hf1 0.000 0.000 0.000 1
Pa1 0.304 0.304 0.000 1
Tc1 0.659 0.659 0.000 1